DFT (SCAN) results for LiCrCu2 at its PBEsol-relaxed geometry.

For the energy above the most stable polymorph in this dataset, the calculation gives 0.000 eV/atom. The calculated total energy is -12.53 eV per atom. The value obtained for the density of states at the Fermi level is 5.74 states/eV/cell. The calculation puts the magnetization at 0.0 μB/f.u.

The structure belongs to space group Cmm2 (No. 35); the cell edges are 2.755, 3.924 and 8.630 Å and the angles 90.00°, 90.00° and 90.00°. Symmetry generates all atoms from Li at (0.000, 0.000, 0.000), Cr at (0.000, 0.500, 0.732), Cu at (0.000, 0.000, 0.489) and Cu at (0.000, 0.500, 0.248).